[1]
Sn3SbC: optimized geometry, PBE.

Lattice parameters (Å, degrees): 4.9010 4.9010 4.9010 90.00 90.00 90.00
Atoms (fractional coordinates):
Sn (0.5000, 0.0000, 0.0000)
Sn (0.0000, 0.0000, 0.5000)
Sn (0.0000, 0.5000, 0.0000)
Sb (0.5000, 0.5000, 0.5000)
C (0.0000, 0.0000, 0.0000)

Computed properties:
SG   No. 221
DOS(E_F)   2.99 states/eV/f.u.
VASP energy   -4.330 eV/atom

[2]
BaNaCr2Bi: optimized geometry, PBE.

Lattice parameters (Å, degrees): 5.3659 5.6752 5.3659 90.00 90.00 90.00
Each line ends with the local moment (μB).
Atoms (fractional coordinates):
Cr (0.0000, 0.0000, 0.5000)  4.21
Cr (0.5000, 0.0000, 0.0000)  4.15
Bi (0.0000, 0.5000, 0.0000)  -0.17
Ba (0.5000, 0.5000, 0.5000)  0.03
Na (0.0000, 0.0000, 0.0000)  0.04

Computed properties:
SG   No. 123
ΔE_f   813.5 meV per atom
DOS(E_F)   2.07 states/eV/f.u.
VASP energy   -4.460 eV/atom